*w*
## CaTcIr2 (meta-GGA SCAN)

Data for a PBEsol-optimized structure of CaTcIr2.

Structure (extended XYZ):
```
4
Lattice="2.833 0.000 0.000 0.000 4.653 0.000 0.000 0.000 4.768" Properties=species:S:1:pos:R:3 pbc="T T T"
Tc 1.416 2.327 0.000
Ca 0.000 2.327 2.384
Ir 0.000 0.000 0.000
Ir 1.416 0.000 2.384
```

Values from the calculation:
Size of the total moment (μB/f.u.): 0.0



*x*
## CaTcIr2 (meta-GGA SCAN)

Data for a PBEsol-optimized structure of CaTcIr2.

Structure (extended XYZ):
```
4
Lattice="-3.334 -0.901 2.829 -2.725 -3.448 -0.787 0.190 -3.632 2.589" Properties=species:S:1:pos:R:3 pbc="T T T"
Ca -2.934 -3.990 2.316
Ir -1.467 -1.995 1.158
Ir 0.000 0.000 0.000
Tc -4.401 -5.986 3.474
```

Values from the calculation:
Size of the total moment (μB/f.u.): 0.0



*y*
## CaTcIr2 (meta-GGA SCAN)

Data for a PBEsol-optimized structure of CaTcIr2.

Structure (extended XYZ):
```
4
Lattice="2.793 0.000 0.000 1.397 2.419 0.000 1.397 0.806 9.278" Properties=species:S:1:pos:R:3 pbc="T T T"
Tc 2.793 1.613 4.639
Ir 4.190 2.419 6.774
Ir 1.397 0.806 2.504
Ca 0.000 0.000 0.000
```

Values from the calculation:
Size of the total moment (μB/f.u.): 0.0



Which of them is most stable? Easy: *y*.



*w*
## CaTeIr (meta-GGA SCAN)

Data for a PBEsol-optimized structure of CaTeIr.

Structure (extended XYZ):
```
3
Lattice="3.419 0.000 0.000 0.000 4.329 0.000 -1.710 -2.165 4.372" Properties=species:S:1:pos:R:3 pbc="T T T"
Ca 0.000 0.000 0.106
Ir 1.710 2.165 1.249
Te 0.000 0.000 3.017
```

Values from the calculation:
Size of the total moment (μB/f.u.): 0.0



*x*
## CaTeIr (meta-GGA SCAN)

Data for a PBEsol-optimized structure of CaTeIr.

Structure (extended XYZ):
```
3
Lattice="-1.007 1.755 2.995 -2.849 -2.200 0.332 4.791 -3.050 1.217" Properties=species:S:1:pos:R:3 pbc="T T T"
Te -0.725 -1.597 2.874
Ca 0.923 -3.481 4.531
Ir 1.673 -1.912 1.683
```

Values from the calculation:
Size of the total moment (μB/f.u.): 0.0



Which of them is most stable? Easy: *x*.



*w*
## Ca2IrW (meta-GGA SCAN)

Data for a PBEsol-optimized structure of Ca2IrW.

Structure (extended XYZ):
```
4
Lattice="3.132 0.000 0.000 0.000 4.751 0.000 0.000 0.000 4.971" Properties=species:S:1:pos:R:3 pbc="T T T"
W 0.000 2.375 2.486
Ca 1.566 2.375 0.000
Ca 0.000 0.000 0.000
Ir 1.566 0.000 2.486
```

Values from the calculation:
Size of the total moment (μB/f.u.): 0.0



*x*
## Ca2IrW (meta-GGA SCAN)

Data for a PBEsol-optimized structure of Ca2IrW.

Structure (extended XYZ):
```
4
Lattice="3.930 0.000 0.000 0.000 3.930 0.000 0.000 0.000 4.882" Properties=species:S:1:pos:R:3 pbc="T T T"
Ca 1.965 0.000 0.000
Ca 0.000 1.965 0.000
Ir 1.965 1.965 2.441
W 0.000 0.000 2.441
```

Values from the calculation:
Size of the total moment (μB/f.u.): 0.0



Which of them is most stable? Easy: *x*.



*w*
## CaZr2Ir (meta-GGA SCAN)

Data for a PBEsol-optimized structure of CaZr2Ir.

Structure (extended XYZ):
```
4
Lattice="3.307 0.000 0.000 0.000 5.107 -0.063 -1.653 -2.496 5.153" Properties=species:S:1:pos:R:3 pbc="T T T"
Ir 1.653 0.000 0.000
Ca 0.000 2.553 -0.032
Zr 1.653 2.586 2.976
Zr 0.000 0.025 2.114
```

Values from the calculation:
Size of the total moment (μB/f.u.): 0.0



*x*
## CaZr2Ir (meta-GGA SCAN)

Data for a PBEsol-optimized structure of CaZr2Ir.

Structure (extended XYZ):
```
4
Lattice="4.842 0.000 0.000 2.421 4.193 0.000 2.421 1.398 3.953" Properties=species:S:1:pos:R:3 pbc="T T T"
Zr 0.000 0.000 0.000
Zr 7.263 4.193 2.965
Ca 4.842 2.795 1.977
Ir 2.421 1.398 0.988
```

Values from the calculation:
Size of the total moment (μB/f.u.): 2.2



Which of them is most stable? Easy: *w*.



*w*
## CaZrIr (meta-GGA SCAN)

Data for a PBEsol-optimized structure of CaZrIr.

Structure (extended XYZ):
```
3
Lattice="-4.275 -0.299 -1.318 -3.244 -0.613 3.034 -2.867 3.323 0.919" Properties=species:S:1:pos:R:3 pbc="T T T"
Ir 0.000 0.000 0.000
Zr -5.193 1.205 1.317
Ca -7.789 1.808 1.975
```

Values from the calculation:
Size of the total moment (μB/f.u.): 0.0



*x*
## CaZrIr (meta-GGA SCAN)

Data for a PBEsol-optimized structure of CaZrIr.

Structure (extended XYZ):
```
3
Lattice="3.149 0.000 0.000 0.000 4.626 0.000 0.000 -2.313 4.006" Properties=species:S:1:pos:R:3 pbc="T T T"
Ca 3.103 0.000 0.000
Ir 2.008 2.313 1.335
Zr 1.186 0.000 2.671
```

Values from the calculation:
Size of the total moment (μB/f.u.): 0.0



Which of them is most stable? Easy: *x*.



*w*
## Ca2ZrIr (meta-GGA SCAN)

Data for a PBEsol-optimized structure of Ca2ZrIr.

Structure (extended XYZ):
```
4
Lattice="4.058 0.000 0.000 0.000 4.058 0.000 0.000 0.000 5.175" Properties=species:S:1:pos:R:3 pbc="T T T"
Ca 2.029 0.000 0.000
Ca 0.000 2.029 0.000
Zr 0.000 0.000 2.587
Ir 2.029 2.029 2.587
```

Values from the calculation:
Size of the total moment (μB/f.u.): 0.0



*x*
## Ca2ZrIr (meta-GGA SCAN)

Data for a PBEsol-optimized structure of Ca2ZrIr.

Structure (extended XYZ):
```
4
Lattice="-0.565 -0.495 3.365 1.872 -2.893 -0.112 7.348 4.681 1.922" Properties=species:S:1:pos:R:3 pbc="T T T"
Ir 4.002 2.550 1.047
Ca 3.010 -0.193 2.243
Ca 7.073 4.506 1.850
Zr 5.591 1.451 2.918
```

Values from the calculation:
Size of the total moment (μB/f.u.): 0.1



Which of them is most stable? Easy: *x*.



*w*
## KCa5 (meta-GGA SCAN)

Data for a PBEsol-optimized structure of KCa5.

Structure (extended XYZ):
```
6
Lattice="-1.610 -5.315 -0.063 5.150 -1.576 1.384 0.538 -0.268 8.863" Properties=species:S:1:pos:R:3 pbc="T T T"
Ca 1.234 -0.446 6.072
Ca 3.011 -3.893 6.704
Ca 1.067 -3.266 3.480
Ca 4.454 -1.398 4.175
Ca -0.805 -2.657 -0.032
K 2.575 -0.788 0.692
```

Values from the calculation:
Size of the total moment (μB/f.u.): 0.8



*x*
## KCa5 (meta-GGA SCAN)

Data for a PBEsol-optimized structure of KCa5.

Structure (extended XYZ):
```
6
Lattice="3.889 0.000 0.000 -1.944 7.342 -0.001 0.000 -2.486 9.154" Properties=species:S:1:pos:R:3 pbc="T T T"
Ca 0.000 5.073 2.651
Ca 1.944 7.262 0.016
Ca 1.944 1.589 3.092
Ca 0.000 3.318 5.994
Ca 0.000 -0.724 5.532
K 1.944 0.910 8.649
```

Values from the calculation:
Size of the total moment (μB/f.u.): 0.0



Which of them is most stable? Easy: *x*.



*w*
## K2CaLa (meta-GGA SCAN)

Data for a PBEsol-optimized structure of K2CaLa.

Structure (extended XYZ):
```
4
Lattice="6.452 0.000 0.000 3.226 5.587 0.000 3.226 1.862 5.268" Properties=species:S:1:pos:R:3 pbc="T T T"
Ca 0.000 0.000 0.000
K 9.677 5.587 3.951
K 3.226 1.862 1.317
La 6.452 3.725 2.634
```

Values from the calculation:
Size of the total moment (μB/f.u.): 2.0



*x*
## K2CaLa (meta-GGA SCAN)

Data for a PBEsol-optimized structure of K2CaLa.

Structure (extended XYZ):
```
4
Lattice="3.816 0.000 0.000 0.000 3.816 0.000 0.000 0.000 13.335" Properties=species:S:1:pos:R:3 pbc="T T T"
Ca 1.908 1.908 9.642
K 0.000 0.000 13.047
K 1.908 1.908 3.654
La 0.000 0.000 6.993
```

Values from the calculation:
Size of the total moment (μB/f.u.): 0.8



Which of them is most stable? Easy: *x*.